# 1
First-principles (GGA-PBE) data for a geometry-optimized MnAlIrW structure, as listed in the Alexandria database.

Lattice parameters (Å, degrees): 4.2906 4.2906 4.2906 60.00 60.00 60.00
Closest atoms and distances in Å follow each position.
Positions (direct):
Mn 0.2500 0.2500 0.2500  4 W 2.63, 4 Al 2.63
Ir 0.7500 0.7500 0.7500  4 W 2.63, 4 Al 2.63
Al 0.5000 0.5000 0.5000  4 Mn 2.63, 4 Ir 2.63
W 0.0000 0.0000 0.0000  4 Ir 2.63, 4 Mn 2.63

Results
The volume is 13.96 Å³ per atom. For the energy, the calculation gives -8.91 eV per atom.

---

# 2
First-principles (GGA-PBE) data for a geometry-optimized MnAlZn2Ir structure, as listed in the Alexandria database.

Lattice parameters (Å, degrees): 4.5833 4.4554 4.5833 90.00 90.00 90.00
Closest atoms and distances in Å follow each position.
Positions (direct):
Zn 0.0000 0.0000 0.5000  2 Mn 2.29
Zn 0.5000 0.0000 0.0000  2 Mn 2.29
Ir 0.0000 0.5000 0.0000  2 Mn 2.23
Al 0.5000 0.5000 0.5000  8 Zn 3.20, 4 Ir 3.24
Mn 0.0000 0.0000 0.0000  2 Ir 2.23, 4 Zn 2.29

Results
The volume is 18.72 Å³ per atom. For the energy, the calculation gives -4.04 eV per atom.

---

# 3
First-principles (GGA-PBE) data for a geometry-optimized Al2MoIr structure, as listed in the Alexandria database.

Lattice parameters (Å, degrees): 2.9480 2.9488 6.6637 90.00 90.00 90.00
Closest atoms and distances in Å follow each position.
Positions (direct):
Mo 0.5000 0.5000 0.7500  8 Al 2.75, 4 Mo 2.95
Ir 0.5000 0.5000 0.2500  8 Al 2.59
Al 0.0000 0.0000 0.0183  4 Ir 2.59, 4 Mo 2.75
Al 0.0000 0.0000 0.4817  4 Ir 2.59, 4 Mo 2.75

Results
The value obtained for the energy above the lowest structure with this stoichiometry is 0.0 meV/atom. The volume is 14.48 Å³ per atom. For the energy, the calculation gives -7.29 eV per atom.

---

# 4
First-principles (GGA-PBE) data for a geometry-optimized AlMo3Ir structure, as listed in the Alexandria database.

Lattice parameters (Å, degrees): 4.7359 4.7359 4.7359 90.00 90.00 90.00
Closest atoms and distances in Å follow each position.
Positions (direct):
Mo 0.0000 0.5000 0.0000  2 Ir 2.37
Mo 0.0000 0.0000 0.5000  2 Ir 2.37
Mo 0.5000 0.0000 0.0000  2 Ir 2.37
Ir 0.0000 0.0000 0.0000  6 Mo 2.37
Al 0.5000 0.5000 0.5000  12 Mo 3.35

Results
The value obtained for the energy above the lowest structure with this stoichiometry is 0.0 meV/atom. The volume is 21.24 Å³ per atom. For the energy, the calculation gives -7.52 eV per atom.

---

# 5
First-principles (GGA-PBE) data for a geometry-optimized Al2MoIr structure, as listed in the Alexandria database.

Lattice parameters (Å, degrees): 6.9651 6.9651 5.6124 51.65 51.65 90.00
Closest atoms and distances in Å follow each position.
Positions (direct):
Mo 0.5000 0.5000 0.0000  4 Al 2.68, 2 Ir 2.69
Mo 0.2500 0.7500 0.5000  4 Al 2.68, 2 Ir 2.69
Ir 0.0000 0.0000 0.0000  4 Al 2.44, 2 Mo 2.69
Ir 0.7500 0.2500 0.5000  4 Al 2.44, 2 Mo 2.69
Al 0.6502 0.1250 0.2500  2 Ir 2.44, 2 Mo 2.68, 2 Al 2.71
Al 0.0998 0.6250 0.2500  2 Ir 2.44, 2 Mo 2.68, 2 Al 2.71
Al 0.3750 0.3498 0.7500  2 Ir 2.44, 2 Mo 2.68, 2 Al 2.71
Al 0.8750 0.9002 0.7500  2 Ir 2.44, 2 Mo 2.68, 2 Al 2.71

Results
The value obtained for the energy above the lowest structure with this stoichiometry is 627.3 meV/atom. The volume is 16.32 Å³ per atom. For the energy, the calculation gives -6.66 eV per atom.

---

# 6
First-principles (GGA-PBE) data for a geometry-optimized Al2MoIr structure, as listed in the Alexandria database.

Lattice parameters (Å, degrees): 4.3650 2.8263 4.9597 79.02 90.00 90.00
Closest atoms and distances in Å follow each position.
Positions (direct):
Mo 0.5000 0.7552 0.7273  5 Al 2.55-2.83, 4 Ir 2.81-2.83, 2 Mo 2.83
Ir 0.0000 0.3381 0.5037  5 Al 2.54-2.73, 4 Mo 2.81-2.83, 2 Ir 2.83
Al 0.0000 0.0149 0.0308  3 Ir 2.60-2.73, 6 Al 2.72-2.87, 2 Mo 2.83
Al 0.5000 0.3918 0.2382  2 Ir 2.54, 3 Mo 2.55-2.81, 4 Al 2.72-2.83

Results
The value obtained for the energy above the lowest structure with this stoichiometry is 173.0 meV/atom. The volume is 15.02 Å³ per atom. For the energy, the calculation gives -7.12 eV per atom.

---

# 7
First-principles (GGA-PBE) data for a geometry-optimized AlMo2Ir structure, as listed in the Alexandria database.

Lattice parameters (Å, degrees): 4.9815 4.9815 2.7552 90.00 90.00 117.63
Closest atoms and distances in Å follow each position.
Positions (direct):
Mo 0.0000 0.0000 0.0000  4 Mo 2.58-2.76, 4 Ir 2.85, 4 Al 2.85
Mo 0.5000 0.5000 0.0000  4 Mo 2.58-2.76, 4 Al 2.85, 4 Ir 2.85
Ir 0.0000 0.5000 0.5000  2 Al 2.58, 2 Ir 2.76, 8 Mo 2.85
Al 0.5000 0.0000 0.5000  2 Ir 2.58, 2 Al 2.76, 8 Mo 2.85

Results
The value obtained for the energy above the lowest structure with this stoichiometry is 110.2 meV/atom. The volume is 15.14 Å³ per atom. For the energy, the calculation gives -8.79 eV per atom.

---

# 8
First-principles (GGA-PBE) data for a geometry-optimized AlMo2Ir structure, as listed in the Alexandria database.

Lattice parameters (Å, degrees): 4.7737 4.7737 4.7737 130.81 130.81 72.12
Closest atoms and distances in Å follow each position.
Positions (direct):
Mo 0.0000 0.0000 0.0000  4 Mo 2.77, 4 Ir 2.77, 4 Al 2.81
Mo 0.2500 0.7500 0.5000  4 Mo 2.77, 4 Al 2.77, 4 Ir 2.81
Ir 0.7500 0.2500 0.5000  4 Al 2.77, 8 Mo 2.77-2.81
Al 0.5000 0.5000 0.0000  4 Ir 2.77, 8 Mo 2.77-2.81

Results
The value obtained for the energy above the lowest structure with this stoichiometry is 172.0 meV/atom. The volume is 15.23 Å³ per atom. For the energy, the calculation gives -8.72 eV per atom.

---

# 9
First-principles (GGA-PBE) data for a geometry-optimized AlMoIr structure, as listed in the Alexandria database.

Lattice parameters (Å, degrees): 4.3031 4.3031 2.7951 90.00 90.00 120.00
Closest atoms and distances in Å follow each position.
Positions (direct):
Mo 0.3333 0.6667 0.6669  2 Mo 2.80, 6 Ir 2.85, 6 Al 2.85
Ir 0.6667 0.3333 0.1659  3 Al 2.48
Al 0.0000 0.0000 0.1672  3 Ir 2.48

Results
The volume is 14.94 Å³ per atom. For the energy, the calculation gives -8.17 eV per atom.

---

# 10
First-principles (GGA-PBE) data for a geometry-optimized AlMoIr3 structure, as listed in the Alexandria database.

Lattice parameters (Å, degrees): 4.7157 4.7157 4.7157 90.00 90.00 90.00
Closest atoms and distances in Å follow each position.
Positions (direct):
Mo 0.0000 0.0000 0.0000  6 Ir 2.36
Ir 0.0000 0.5000 0.0000  2 Mo 2.36
Ir 0.0000 0.0000 0.5000  2 Mo 2.36
Ir 0.5000 0.0000 0.0000  2 Mo 2.36
Al 0.5000 0.5000 0.5000  12 Ir 3.33

Results
The value obtained for the energy above the lowest structure with this stoichiometry is 428.8 meV/atom. The volume is 20.97 Å³ per atom. For the energy, the calculation gives -6.71 eV per atom.

---

# 11
First-principles (GGA-PBE) data for a geometry-optimized AlMo3Ir structure, as listed in the Alexandria database.

Lattice parameters (Å, degrees): 4.4425 4.4425 4.4425 90.00 90.00 90.00
Closest atoms and distances in Å follow each position.
Positions (direct):
Mo 0.0000 0.5000 0.0000  2 Al 2.22
Mo 0.0000 0.0000 0.5000  2 Al 2.22
Mo 0.5000 0.0000 0.0000  2 Al 2.22
Ir 0.5000 0.5000 0.5000  12 Mo 3.14
Al 0.0000 0.0000 0.0000  6 Mo 2.22

Results
The value obtained for the energy above the lowest structure with this stoichiometry is 30.4 meV/atom. The volume is 17.54 Å³ per atom. For the energy, the calculation gives -7.49 eV per atom.

---

# 12
First-principles (GGA-PBE) data for a geometry-optimized Al2MoIr structure, as listed in the Alexandria database.

Lattice parameters (Å, degrees): 4.9409 4.9409 4.5794 72.85 72.85 33.82
Closest atoms and distances in Å follow each position.
Positions (direct):
Mo 0.2428 0.2428 0.2012  7 Al 2.65-2.75, 2 Ir 2.76, 2 Mo 2.87
Ir 0.5022 0.5022 0.5554  7 Al 2.62-2.77, 2 Mo 2.76, 2 Ir 2.87
Al 0.9962 0.9962 0.0427  4 Ir 2.64-2.77, 3 Mo 2.65-2.69, 4 Al 2.87-2.88
Al 0.7588 0.7588 0.7007  3 Ir 2.62-2.71, 4 Mo 2.67-2.75, 4 Al 2.87-2.88

Results
The value obtained for the energy above the lowest structure with this stoichiometry is 74.6 meV/atom. The volume is 14.80 Å³ per atom. For the energy, the calculation gives -7.22 eV per atom.

---

# 13
First-principles (GGA-PBE) data for a geometry-optimized AlMo2Ir structure, as listed in the Alexandria database.

Lattice parameters (Å, degrees): 2.7795 2.7795 7.8425 90.00 90.00 90.05
Closest atoms and distances in Å follow each position.
Positions (direct):
Mo 0.0000 0.0000 0.9993  4 Ir 2.77, 4 Mo 2.78, 4 Al 2.78
Mo 0.0000 0.0000 0.5007  4 Ir 2.77, 4 Mo 2.78, 4 Al 2.78
Ir 0.5000 0.5000 0.7500  8 Mo 2.77, 4 Ir 2.78
Al 0.5000 0.5000 0.2500  4 Al 2.78, 8 Mo 2.78

Results
The value obtained for the energy above the lowest structure with this stoichiometry is 116.6 meV/atom. The volume is 15.15 Å³ per atom. For the energy, the calculation gives -8.78 eV per atom.

---

# 14
First-principles (GGA-PBE) data for a geometry-optimized AlMo2Ir structure, as listed in the Alexandria database.

Lattice parameters (Å, degrees): 2.7594 4.0113 5.5038 90.00 90.00 90.00
Closest atoms and distances in Å follow each position.
Positions (direct):
Mo 0.0000 0.0000 0.0054  2 Al 2.71-2.79, 6 Mo 2.76-2.79, 4 Ir 2.87
Mo 0.5000 0.5000 0.2522  2 Ir 2.63-2.88, 6 Mo 2.76-2.79, 4 Al 2.83
Ir 0.5000 0.5000 0.7294  6 Mo 2.63-2.88, 4 Al 2.71, 2 Ir 2.76
Al 0.0000 0.0000 0.5130  6 Mo 2.71-2.83, 4 Ir 2.71, 2 Al 2.76

Results
The value obtained for the energy above the lowest structure with this stoichiometry is 156.5 meV/atom. The volume is 15.23 Å³ per atom. For the energy, the calculation gives -8.74 eV per atom.

---

# 15
First-principles (GGA-PBE) data for a geometry-optimized AlMo2Ir structure, as listed in the Alexandria database.

Lattice parameters (Å, degrees): 4.6964 4.6964 2.7764 90.00 90.00 90.00
Closest atoms and distances in Å follow each position.
Positions (direct):
Mo 0.0000 0.0000 0.0000  4 Ir 2.73, 4 Al 2.73, 2 Mo 2.78
Mo 0.5000 0.5000 0.0000  4 Al 2.73, 4 Ir 2.73, 2 Mo 2.78
Ir 0.0000 0.5000 0.5000  8 Mo 2.73, 2 Ir 2.78
Al 0.5000 0.0000 0.5000  8 Mo 2.73, 2 Al 2.78

Results
The value obtained for the energy above the lowest structure with this stoichiometry is 323.0 meV/atom. The volume is 15.31 Å³ per atom. For the energy, the calculation gives -8.57 eV per atom.

---

no.,DFT formation energy (eV/atom)
1,-0.228
2,0.821
3,-0.496
4,1.496
5,0.131
6,-0.323
7,-0.220
8,-0.158
9,-0.355
10,1.522
11,1.527
12,-0.422
13,-0.213
14,-0.173
15,-0.007